1.
## RhW2Br (PBE-GGA)

Data for a relaxed structure of RhW2Br.

Summary:
ΔE_f (raw) = 468 meV per atom
Distance to the lowest polymorph of the same formula = 0.365 eV per formula unit
Size of the total moment = 0.000 μB/atom

Geometry as CIF:
```
data_RhW2Br
_chemical_formula_sum 'Rh1 W2 Br1'
_space_group_name_H-M_alt 'P 1'
_space_group_IT_number 1
_cell_length_a 2.923
_cell_length_b 2.923
_cell_length_c 8.008
_cell_angle_alpha 90.00
_cell_angle_beta 90.00
_cell_angle_gamma 90.00
loop_
_space_group_symop_operation_xyz
'x,y,z'
loop_
_atom_site_label
_atom_site_type_symbol
_atom_site_fract_x
_atom_site_fract_y
_atom_site_fract_z
Rh1 Rh 0.000 0.000 0.000
W1 W 0.000 0.000 0.463
W2 W 0.500 0.500 0.209
Br1 Br 0.500 0.500 0.689
```

2.
## RhW2Br (PBE-GGA)

Data for a relaxed structure of RhW2Br.

Summary:
ΔE_f (raw) = 930 meV per atom
Distance to the lowest polymorph of the same formula = 2.215 eV per formula unit
Size of the total moment = 0.000 μB/atom

Geometry as CIF:
```
data_RhW2Br
_chemical_formula_sum 'Rh1 W2 Br1'
_space_group_name_H-M_alt 'P 1'
_space_group_IT_number 1
_cell_length_a 3.008
_cell_length_b 4.530
_cell_length_c 4.853
_cell_angle_alpha 90.00
_cell_angle_beta 90.00
_cell_angle_gamma 90.00
loop_
_space_group_symop_operation_xyz
'x,y,z'
loop_
_atom_site_label
_atom_site_type_symbol
_atom_site_fract_x
_atom_site_fract_y
_atom_site_fract_z
Rh1 Rh 0.000 0.000 0.000
W1 W 0.000 0.500 0.500
W2 W 0.500 0.000 0.500
Br1 Br 0.500 0.500 0.000
```

3.
## RhW2Br (PBE-GGA)

Data for a relaxed structure of RhW2Br.

Summary:
ΔE_f (raw) = 446 meV per atom
Distance to the lowest polymorph of the same formula = 0.279 eV per formula unit
Size of the total moment = 0.000 μB/atom

Geometry as CIF:
```
data_RhW2Br
_chemical_formula_sum 'Rh3 W6 Br3'
_space_group_name_H-M_alt 'P 1'
_space_group_IT_number 1
_cell_length_a 2.938
_cell_length_b 2.938
_cell_length_c 27.132
_cell_angle_alpha 90.00
_cell_angle_beta 90.00
_cell_angle_gamma 120.00
loop_
_space_group_symop_operation_xyz
'x,y,z'
loop_
_atom_site_label
_atom_site_type_symbol
_atom_site_fract_x
_atom_site_fract_y
_atom_site_fract_z
Rh1 Rh 0.000 0.000 0.000
Rh2 Rh 0.333 0.667 0.667
Rh3 Rh 0.667 0.333 0.333
W1 W 0.000 0.000 0.496
W2 W 0.000 0.000 0.742
W3 W 0.333 0.667 0.162
W4 W 0.333 0.667 0.408
W5 W 0.667 0.333 0.075
W6 W 0.667 0.333 0.829
Br1 Br 0.000 0.000 0.237
Br2 Br 0.333 0.667 0.904
Br3 Br 0.667 0.333 0.570
```

4.
## RhW2Br (PBE-GGA)

Data for a relaxed structure of RhW2Br.

Summary:
ΔE_f (raw) = 947 meV per atom
Distance to the lowest polymorph of the same formula = 2.280 eV per formula unit
Size of the total moment = 0.000 μB/atom

Geometry as CIF:
```
data_RhW2Br
_chemical_formula_sum 'Rh2 W4 Br2'
_space_group_name_H-M_alt 'P 1'
_space_group_IT_number 1
_cell_length_a 5.363
_cell_length_b 8.817
_cell_length_c 2.886
_cell_angle_alpha 90.00
_cell_angle_beta 106.67
_cell_angle_gamma 90.00
loop_
_space_group_symop_operation_xyz
'x,y,z'
loop_
_atom_site_label
_atom_site_type_symbol
_atom_site_fract_x
_atom_site_fract_y
_atom_site_fract_z
Rh1 Rh 0.000 0.000 0.000
Rh2 Rh 0.500 0.500 0.000
W1 W 0.250 0.250 0.500
W2 W 0.250 0.750 0.500
W3 W 0.750 0.250 0.500
W4 W 0.750 0.750 0.500
Br1 Br 0.000 0.500 0.000
Br2 Br 0.500 0.000 0.000
```

5.
## RhW2Br (PBE-GGA)

Data for a relaxed structure of RhW2Br.

Summary:
ΔE_f (raw) = 593 meV per atom
Distance to the lowest polymorph of the same formula = 0.866 eV per formula unit
Size of the total moment = 0.000 μB/atom

Geometry as CIF:
```
data_RhW2Br
_chemical_formula_sum 'Rh3 W6 Br3'
_space_group_name_H-M_alt 'P 1'
_space_group_IT_number 1
_cell_length_a 2.918
_cell_length_b 2.918
_cell_length_c 26.459
_cell_angle_alpha 90.00
_cell_angle_beta 90.00
_cell_angle_gamma 120.00
loop_
_space_group_symop_operation_xyz
'x,y,z'
loop_
_atom_site_label
_atom_site_type_symbol
_atom_site_fract_x
_atom_site_fract_y
_atom_site_fract_z
Rh1 Rh 0.000 0.000 0.000
Rh2 Rh 0.333 0.667 0.667
Rh3 Rh 0.667 0.333 0.333
W1 W 0.000 0.000 0.251
W2 W 0.000 0.000 0.749
W3 W 0.333 0.667 0.415
W4 W 0.333 0.667 0.918
W5 W 0.667 0.333 0.082
W6 W 0.667 0.333 0.585
Br1 Br 0.000 0.000 0.500
Br2 Br 0.333 0.667 0.167
Br3 Br 0.667 0.333 0.833
```

6.
## RhW2Br (PBE-GGA)

Data for a relaxed structure of RhW2Br.

Summary:
ΔE_f (raw) = 923 meV per atom
Distance to the lowest polymorph of the same formula = 2.184 eV per formula unit
Size of the total moment = 0.000 μB/atom

Geometry as CIF:
```
data_RhW2Br
_chemical_formula_sum 'Rh1 W2 Br1'
_space_group_name_H-M_alt 'P 1'
_space_group_IT_number 1
_cell_length_a 4.523
_cell_length_b 2.999
_cell_length_c 4.968
_cell_angle_alpha 90.00
_cell_angle_beta 100.71
_cell_angle_gamma 90.00
loop_
_space_group_symop_operation_xyz
'x,y,z'
loop_
_atom_site_label
_atom_site_type_symbol
_atom_site_fract_x
_atom_site_fract_y
_atom_site_fract_z
Rh1 Rh 0.000 0.000 0.000
W1 W 0.000 0.500 0.500
W2 W 0.500 0.000 0.500
Br1 Br 0.500 0.500 0.000
```

7.
## RhW2Br (PBE-GGA)

Data for a relaxed structure of RhW2Br.

Summary:
ΔE_f (raw) = 851 meV per atom
Distance to the lowest polymorph of the same formula = 1.899 eV per formula unit
Size of the total moment = 0.000 μB/atom

Geometry as CIF:
```
data_RhW2Br
_chemical_formula_sum 'Rh2 W4 Br2'
_space_group_name_H-M_alt 'P 1'
_space_group_IT_number 1
_cell_length_a 3.000
_cell_length_b 4.830
_cell_length_c 9.353
_cell_angle_alpha 90.00
_cell_angle_beta 90.00
_cell_angle_gamma 90.00
loop_
_space_group_symop_operation_xyz
'x,y,z'
loop_
_atom_site_label
_atom_site_type_symbol
_atom_site_fract_x
_atom_site_fract_y
_atom_site_fract_z
Rh1 Rh 0.000 0.000 0.000
Rh2 Rh 0.500 0.500 0.000
W1 W 0.000 0.500 0.235
W2 W 0.000 0.500 0.765
W3 W 0.500 0.000 0.235
W4 W 0.500 0.000 0.765
Br1 Br 0.000 0.000 0.500
Br2 Br 0.500 0.500 0.500
```

8.
## RhW2Br (PBE-GGA)

Data for a relaxed structure of RhW2Br.

Summary:
ΔE_f (raw) = 674 meV per atom
Distance to the lowest polymorph of the same formula = 1.188 eV per formula unit
Size of the total moment = 0.001 μB/atom

Geometry as CIF:
```
data_RhW2Br
_chemical_formula_sum 'Rh1 W2 Br1'
_space_group_name_H-M_alt 'P 1'
_space_group_IT_number 1
_cell_length_a 2.902
_cell_length_b 3.739
_cell_length_c 6.792
_cell_angle_alpha 90.00
_cell_angle_beta 90.00
_cell_angle_gamma 90.00
loop_
_space_group_symop_operation_xyz
'x,y,z'
loop_
_atom_site_label
_atom_site_type_symbol
_atom_site_fract_x
_atom_site_fract_y
_atom_site_fract_z
Rh1 Rh 0.000 0.000 0.000
W1 W 0.500 0.500 0.189
W2 W 0.500 0.500 0.811
Br1 Br 0.500 0.000 0.500
```

9.
## RhW2Br (PBE-GGA)

Data for a relaxed structure of RhW2Br.

Summary:
ΔE_f (raw) = 1142 meV per atom
Distance to the lowest polymorph of the same formula = 3.061 eV per formula unit
Size of the total moment = 0.000 μB/atom

Geometry as CIF:
```
data_RhW2Br
_chemical_formula_sum 'Rh1 W2 Br1'
_space_group_name_H-M_alt 'P 1'
_space_group_IT_number 1
_cell_length_a 3.770
_cell_length_b 3.770
_cell_length_c 4.704
_cell_angle_alpha 90.00
_cell_angle_beta 90.00
_cell_angle_gamma 90.00
loop_
_space_group_symop_operation_xyz
'x,y,z'
loop_
_atom_site_label
_atom_site_type_symbol
_atom_site_fract_x
_atom_site_fract_y
_atom_site_fract_z
Rh1 Rh 0.000 0.000 0.000
W1 W 0.000 0.500 0.500
W2 W 0.500 0.000 0.500
Br1 Br 0.500 0.500 0.000
```

10.
## RhW2Br (PBE-GGA)

Data for a relaxed structure of RhW2Br.

Summary:
ΔE_f (raw) = 1011 meV per atom
Distance to the lowest polymorph of the same formula = 2.540 eV per formula unit
Size of the total moment = 0.000 μB/atom

Geometry as CIF:
```
data_RhW2Br
_chemical_formula_sum 'Rh2 W4 Br2'
_space_group_name_H-M_alt 'P 1'
_space_group_IT_number 1
_cell_length_a 5.274
_cell_length_b 8.657
_cell_length_c 2.880
_cell_angle_alpha 90.00
_cell_angle_beta 90.00
_cell_angle_gamma 90.00
loop_
_space_group_symop_operation_xyz
'x,y,z'
loop_
_atom_site_label
_atom_site_type_symbol
_atom_site_fract_x
_atom_site_fract_y
_atom_site_fract_z
Rh1 Rh 0.000 0.000 0.000
Rh2 Rh 0.500 0.500 0.000
W1 W 0.250 0.250 0.500
W2 W 0.250 0.750 0.500
W3 W 0.750 0.250 0.500
W4 W 0.750 0.750 0.500
Br1 Br 0.000 0.500 0.000
Br2 Br 0.500 0.000 0.000
```

Which value of size of the total moment does entry 9 give? 0.000 μB/atom